# Pm2Dy3Bi3

A geometry-optimized Pm2Dy3Bi3 structure (PBE, the Alexandria database).

Lattice parameters (Å, degrees): 9.3128 9.3128 6.4287 90.00 90.00 120.00
Closest atoms and distances in Å follow each position.
Space group P6_3/mcm (No. 193)
Unique sites:
1 Pm 0.3333 0.6667 0.0000  2 Pm 3.21, 6 Bi 3.31
2 Dy 0.0000 0.2436 0.2500  5 Bi 3.14-3.47
3 Bi 0.0000 0.3844 0.7500  5 Dy 3.14-3.47, 4 Pm 3.31

Results
DFT formation energy   -0.711 eV per atom
Energy   -5.0799 eV per atom
Fermi-level density of states   0.91 states/eV/atom